# GGA-PBE LaMnFe2, optimized geometry
data_LaMnFe2
_chemical_formula_sum 'La4 Mn4 Fe8'
_cell_length_a 6.462
_cell_length_b 6.462
_cell_length_c 6.462
_cell_angle_alpha 90.00
_cell_angle_beta 90.00
_cell_angle_gamma 90.00
_symmetry_space_group_name_H-M 'F -4 3 m'
_symmetry_Int_Tables_number 216
_symmetry_space_group_name_Hall 'F -4 2 3'
loop_
_atom_site_label
_atom_site_type_symbol
_atom_site_fract_x
_atom_site_fract_y
_atom_site_fract_z
La1 La 0.000 0.000 0.000
Mn1 Mn 0.250 0.250 0.250
Fe1 Fe 0.000 0.000 0.500
Fe2 Fe 0.250 0.250 0.750
# Formation energy (eV/atom): 0.52
# Magnetic moment (μB per atom): 0.390
# E above lowest polymorph (meV per atom): 347

# GGA-PBE LaMnFe, optimized geometry
data_LaMnFe
_chemical_formula_sum 'La1 Mn1 Fe1'
_cell_length_a 3.7707
_cell_length_b 3.7707
_cell_length_c 4.6814
_cell_angle_alpha 90.00
_cell_angle_beta 90.00
_cell_angle_gamma 120.00
_symmetry_space_group_name_H-M 'P 3 m 1'
_symmetry_Int_Tables_number 156
_symmetry_space_group_name_Hall 'P 3 -2"'
loop_
_atom_site_label
_atom_site_type_symbol
_atom_site_fract_x
_atom_site_fract_y
_atom_site_fract_z
La1 La 0.0000 0.0000 0.0000
Mn1 Mn 0.6667 0.3333 0.4722
Fe1 Fe 0.3333 0.6667 0.5283
# Formation energy (eV/atom): 0.22
# Magnetic moment (μB per atom): 0.000
# E above lowest polymorph (meV per atom): 0

# GGA-PBE La2MnFe, optimized geometry
data_La2MnFe
_chemical_formula_sum 'La2 Mn1 Fe1'
_cell_length_a 5.130
_cell_length_b 5.130
_cell_length_c 3.624
_cell_angle_alpha 90.00
_cell_angle_beta 90.00
_cell_angle_gamma 90.00
_symmetry_space_group_name_H-M 'P 4/m m m'
_symmetry_Int_Tables_number 123
_symmetry_space_group_name_Hall '-P 4 2'
loop_
_atom_site_label
_atom_site_type_symbol
_atom_site_fract_x
_atom_site_fract_y
_atom_site_fract_z
La1 La 0.000 0.500 0.000
Mn1 Mn 0.000 0.000 0.500
Fe1 Fe 0.500 0.500 0.500
# Formation energy (eV/atom): 0.32
# Magnetic moment (μB per atom): 1.205
# E above lowest polymorph (meV per atom): 184

# GGA-PBE LaMnFe2, optimized geometry
data_LaMnFe2
_chemical_formula_sum 'La3 Mn3 Fe6'
_cell_length_a 3.0445
_cell_length_b 3.0445
_cell_length_c 26.7948
_cell_angle_alpha 90.00
_cell_angle_beta 90.00
_cell_angle_gamma 120.00
_symmetry_space_group_name_H-M 'R 3 m'
_symmetry_Int_Tables_number 160
_symmetry_space_group_name_Hall 'R 3 -2"'
loop_
_atom_site_label
_atom_site_type_symbol
_atom_site_fract_x
_atom_site_fract_y
_atom_site_fract_z
La1 La 0.0000 0.0000 0.0000
Mn1 Mn 0.0000 0.0000 0.7713
Fe1 Fe 0.0000 0.0000 0.2341
Fe2 Fe 0.0000 0.0000 0.5059
# Formation energy (eV/atom): 0.65
# Magnetic moment (μB per atom): 0.465
# E above lowest polymorph (meV per atom): 482

# GGA-PBE LaMnFe2, optimized geometry
data_LaMnFe2
_chemical_formula_sum 'La1 Mn1 Fe2'
_cell_length_a 3.083
_cell_length_b 3.090
_cell_length_c 6.849
_cell_angle_alpha 90.00
_cell_angle_beta 90.07
_cell_angle_gamma 90.00
_symmetry_space_group_name_H-M 'P 1 2/m 1'
_symmetry_Int_Tables_number 10
_symmetry_space_group_name_Hall '-P 2y'
loop_
_atom_site_label
_atom_site_type_symbol
_atom_site_fract_x
_atom_site_fract_y
_atom_site_fract_z
La1 La 0.000 0.000 0.000
Mn1 Mn 0.000 0.000 0.500
Fe1 Fe 0.500 0.500 0.333
# Formation energy (eV/atom): 0.36
# Magnetic moment (μB per atom): 1.277
# E above lowest polymorph (meV per atom): 193

# GGA-PBE LaMn10Fe2, optimized geometry
data_LaMn10Fe2
_chemical_formula_sum 'La4 Mn40 Fe8'
_cell_length_a 8.495
_cell_length_b 9.708
_cell_length_c 8.062
_cell_angle_alpha 90.00
_cell_angle_beta 90.00
_cell_angle_gamma 90.00
_symmetry_space_group_name_H-M 'C m c m'
_symmetry_Int_Tables_number 63
_symmetry_space_group_name_Hall '-C 2c 2'
loop_
_atom_site_label
_atom_site_type_symbol
_atom_site_fract_x
_atom_site_fract_y
_atom_site_fract_z
La1 La 0.000 0.116 0.250
Mn1 Mn 0.000 0.175 0.606
Mn2 Mn 0.000 0.396 0.071
Mn3 Mn 0.131 0.384 0.750
Mn4 Mn 0.233 0.000 0.000
Mn5 Mn 0.240 0.367 0.250
Fe1 Fe 0.250 0.250 0.000
# Formation energy (eV/atom): 0.09
# Magnetic moment (μB per atom): 0.101

# GGA-PBE LaMnFe2, optimized geometry
data_LaMnFe2
_chemical_formula_sum 'La4 Mn4 Fe8'
_cell_length_a 6.362
_cell_length_b 6.362
_cell_length_c 6.362
_cell_angle_alpha 90.00
_cell_angle_beta 90.00
_cell_angle_gamma 90.00
_symmetry_space_group_name_H-M 'F m -3 m'
_symmetry_Int_Tables_number 225
_symmetry_space_group_name_Hall '-F 4 2 3'
loop_
_atom_site_label
_atom_site_type_symbol
_atom_site_fract_x
_atom_site_fract_y
_atom_site_fract_z
La1 La 0.000 0.000 0.000
Mn1 Mn 0.000 0.000 0.500
Fe1 Fe 0.250 0.250 0.250
# Formation energy (eV/atom): 0.43
# Magnetic moment (μB per atom): 1.592
# E above lowest polymorph (meV per atom): 260

# GGA-PBE LaMnFe, optimized geometry
data_LaMnFe
_chemical_formula_sum 'La4 Mn4 Fe4'
_cell_length_a 6.333
_cell_length_b 6.333
_cell_length_c 6.333
_cell_angle_alpha 90.00
_cell_angle_beta 90.00
_cell_angle_gamma 90.00
_symmetry_space_group_name_H-M 'F -4 3 m'
_symmetry_Int_Tables_number 216
_symmetry_space_group_name_Hall 'F -4 2 3'
loop_
_atom_site_label
_atom_site_type_symbol
_atom_site_fract_x
_atom_site_fract_y
_atom_site_fract_z
La1 La 0.000 0.000 0.000
Mn1 Mn 0.000 0.000 0.500
Fe1 Fe 0.250 0.250 0.250
# Formation energy (eV/atom): 0.52
# Magnetic moment (μB per atom): 1.701
# E above lowest polymorph (meV per atom): 304

# GGA-PBE LaMn3Fe, optimized geometry
data_LaMn3Fe
_chemical_formula_sum 'La1 Mn3 Fe1'
_cell_length_a 4.522
_cell_length_b 4.522
_cell_length_c 4.522
_cell_angle_alpha 90.00
_cell_angle_beta 90.00
_cell_angle_gamma 90.00
_symmetry_space_group_name_H-M 'P m -3 m'
_symmetry_Int_Tables_number 221
_symmetry_space_group_name_Hall '-P 4 2 3'
loop_
_atom_site_label
_atom_site_type_symbol
_atom_site_fract_x
_atom_site_fract_y
_atom_site_fract_z
La1 La 0.000 0.000 0.000
Mn1 Mn 0.000 0.500 0.500
Fe1 Fe 0.500 0.500 0.500
# Formation energy (eV/atom): 0.54
# Magnetic moment (μB per atom): 1.653
# E above lowest polymorph (meV per atom): 0

# GGA-PBE LaMnFe2, optimized geometry
data_LaMnFe2
_chemical_formula_sum 'La2 Mn2 Fe4'
_cell_length_a 4.069
_cell_length_b 4.069
_cell_length_c 8.252
_cell_angle_alpha 90.00
_cell_angle_beta 90.00
_cell_angle_gamma 90.00
_symmetry_space_group_name_H-M 'I 4/m m m'
_symmetry_Int_Tables_number 139
_symmetry_space_group_name_Hall '-I 4 2'
loop_
_atom_site_label
_atom_site_type_symbol
_atom_site_fract_x
_atom_site_fract_y
_atom_site_fract_z
La1 La 0.000 0.000 0.000
Mn1 Mn 0.000 0.000 0.500
Fe1 Fe 0.000 0.500 0.250
# Formation energy (eV/atom): 0.49
# Magnetic moment (μB per atom): 2.000
# E above lowest polymorph (meV per atom): 324

# GGA-PBE LaMnFe4, optimized geometry
data_LaMnFe4
_chemical_formula_sum 'La4 Mn4 Fe16'
_cell_length_a 7.170
_cell_length_b 7.170
_cell_length_c 7.170
_cell_angle_alpha 90.00
_cell_angle_beta 90.00
_cell_angle_gamma 90.00
_symmetry_space_group_name_H-M 'F -4 3 m'
_symmetry_Int_Tables_number 216
_symmetry_space_group_name_Hall 'F -4 2 3'
loop_
_atom_site_label
_atom_site_type_symbol
_atom_site_fract_x
_atom_site_fract_y
_atom_site_fract_z
La1 La 0.000 0.000 0.000
Mn1 Mn 0.250 0.250 0.250
Fe1 Fe 0.124 0.124 0.624
# Formation energy (eV/atom): 0.17
# Magnetic moment (μB per atom): 2.219

# GGA-PBE LaMn3Fe, optimized geometry
data_LaMn3Fe
_chemical_formula_sum 'La1 Mn3 Fe1'
_cell_length_a 4.524
_cell_length_b 4.524
_cell_length_c 4.524
_cell_angle_alpha 90.00
_cell_angle_beta 90.00
_cell_angle_gamma 90.00
_symmetry_space_group_name_H-M 'P m -3 m'
_symmetry_Int_Tables_number 221
_symmetry_space_group_name_Hall '-P 4 2 3'
loop_
_atom_site_label
_atom_site_type_symbol
_atom_site_fract_x
_atom_site_fract_y
_atom_site_fract_z
La1 La 0.000 0.000 0.000
Mn1 Mn 0.000 0.000 0.500
Fe1 Fe 0.500 0.500 0.500
# Formation energy (eV/atom): 2.17
# Magnetic moment (μB per atom): 1.340
# E above lowest polymorph (meV per atom): 1628